(1)
# Ca2Ge2Ru PBE relaxed
# D(E_F) ... 0.880 states/eV/atom
# Formation energy from the elements ... -2.16 eV/f.u.
data_Ca2Ge2Ru
_cell_length_a 6.7374
_cell_length_b 6.7374
_cell_length_c 4.6120
_cell_angle_alpha 90.00
_cell_angle_beta 90.00
_cell_angle_gamma 90.00
_symmetry_space_group_name_H-M 'P 4/m b m'
_symmetry_Int_Tables_number 127
_symmetry_space_group_name_Hall '-P 4 2ab'
loop_
_atom_site_label
_atom_site_fract_x
_atom_site_fract_y
_atom_site_fract_z
Ca1 0.1776 0.3224 0.0000
Ge1 0.1368 0.6368 0.5000
Ru1 0.0000 0.0000 0.5000

---

(2)
# BeReAu2 PBE relaxed
# D(E_F) ... 0.609 states/eV/atom
# Formation energy from the elements ... 2.63 eV/f.u.
data_BeReAu2
_cell_length_a 6.2766
_cell_length_b 6.2766
_cell_length_c 6.2766
_cell_angle_alpha 90.00
_cell_angle_beta 90.00
_cell_angle_gamma 90.00
_symmetry_space_group_name_H-M 'F -4 3 m'
_symmetry_Int_Tables_number 216
_symmetry_space_group_name_Hall 'F -4 2 3'
loop_
_atom_site_label
_atom_site_fract_x
_atom_site_fract_y
_atom_site_fract_z
Be1 0.0000 0.0000 0.0000
Re1 0.2500 0.2500 0.7500
Au1 0.0000 0.0000 0.5000
Au2 0.2500 0.2500 0.2500

---

(3)
# SnHg2OsN PBE relaxed
# D(E_F) ... 0.580 states/eV/atom
# Formation energy from raw total energies ... 0.77 eV/atom
data_SnHg2OsN
_cell_length_a 5.3936
_cell_length_b 5.3936
_cell_length_c 3.7099
_cell_angle_alpha 90.00
_cell_angle_beta 90.00
_cell_angle_gamma 90.00
_symmetry_space_group_name_H-M 'P 4/m m m'
_symmetry_Int_Tables_number 123
_symmetry_space_group_name_Hall '-P 4 2'
loop_
_atom_site_label
_atom_site_fract_x
_atom_site_fract_y
_atom_site_fract_z
Sn1 0.0000 0.0000 0.0000
Hg1 0.0000 0.5000 0.5000
Os1 0.5000 0.5000 0.0000
N1 0.5000 0.5000 0.5000

---

(4)
# Ta2Tl2Te PBE relaxed
# D(E_F) ... 0.741 states/eV/atom
# Formation energy from raw total energies ... 0.49 eV/atom
# Polymorph energy (0 for the lowest one) ... 0 meV per atom
data_Ta2Tl2Te
_cell_length_a 7.3257
_cell_length_b 7.3257
_cell_length_c 4.3420
_cell_angle_alpha 90.00
_cell_angle_beta 90.00
_cell_angle_gamma 90.00
_symmetry_space_group_name_H-M 'P 4/m b m'
_symmetry_Int_Tables_number 127
_symmetry_space_group_name_Hall '-P 4 2ab'
loop_
_atom_site_label
_atom_site_fract_x
_atom_site_fract_y
_atom_site_fract_z
Ta1 0.1283 0.3717 0.0000
Tl1 0.1688 0.6688 0.5000
Te1 0.0000 0.0000 0.0000

---

(5)
# CdRuAu PBE relaxed
# D(E_F) ... 0.766 states/eV/atom
# Polymorph energy (0 for the lowest one) ... 19 meV per atom
# Formation energy from the elements ... 0.88 eV/f.u.
data_CdRuAu
_cell_length_a 2.8988
_cell_length_b 2.8988
_cell_length_c 7.1060
_cell_angle_alpha 90.00
_cell_angle_beta 90.00
_cell_angle_gamma 120.00
_symmetry_space_group_name_H-M 'P 3 m 1'
_symmetry_Int_Tables_number 156
loop_
_symmetry_equiv_pos_as_xyz
'x,y,z'
'-y,x-y,z'
'-x+y,-x,z'
'-y,-x,z'
'-x+y,y,z'
'x,x-y,z'
loop_
_atom_site_label
_atom_site_fract_x
_atom_site_fract_y
_atom_site_fract_z
Cd1 0.0000 0.0000 0.0000
Ru1 0.6667 0.3333 0.3264
Au1 0.3333 0.6667 0.6489

---

(6)
# SrEr4PbS8 PBE relaxed
# D(E_F) ... 0.000 states/eV/atom
# Formation energy from raw total energies ... -1.79 eV/atom
data_SrEr4PbS8
_cell_length_a 8.1368
_cell_length_b 8.1368
_cell_length_c 20.5090
_cell_angle_alpha 90.00
_cell_angle_beta 90.00
_cell_angle_gamma 120.00
_symmetry_space_group_name_H-M 'R 3 m'
_symmetry_Int_Tables_number 160
_symmetry_space_group_name_Hall 'R 3 -2"'
loop_
_atom_site_label
_atom_site_fract_x
_atom_site_fract_y
_atom_site_fract_z
Sr1 0.0000 0.0000 0.0000
Er1 0.0000 0.0000 0.2492
Er2 0.1692 0.3383 0.4593
Pb1 0.0000 0.0000 0.6310
S1 0.0000 0.0000 0.3829
S2 0.0000 0.0000 0.8615
S3 0.0300 0.5150 0.3881
S4 0.1699 0.3397 0.2002

---

- What is the formula in the third record?
  SnHg2OsN

---

- Number 2 is which compound?
  BeReAu2

---

Repeat the second record exactly.
# BeReAu2 PBE relaxed
# D(E_F) ... 0.609 states/eV/atom
# Formation energy from the elements ... 2.63 eV/f.u.
data_BeReAu2
_cell_length_a 6.2766
_cell_length_b 6.2766
_cell_length_c 6.2766
_cell_angle_alpha 90.00
_cell_angle_beta 90.00
_cell_angle_gamma 90.00
_symmetry_space_group_name_H-M 'F -4 3 m'
_symmetry_Int_Tables_number 216
_symmetry_space_group_name_Hall 'F -4 2 3'
loop_
_atom_site_label
_atom_site_fract_x
_atom_site_fract_y
_atom_site_fract_z
Be1 0.0000 0.0000 0.0000
Re1 0.2500 0.2500 0.7500
Au1 0.0000 0.0000 0.5000
Au2 0.2500 0.2500 0.2500